Here is crystalline ZnCu3H6Cl2O6 at its relaxed geometry from Alexandria via LeMat-Bulk. Energies are from PBEsol.

Computed properties:
D(E_F): 0.033 states/eV per atom
E_tot: -85.720 eV for the cell shown
ρ: 3.772 g/cm³
magnetization: 0.17 μB per atom

abc: 6.2262 6.2262 5.6254
angles: 90.00 90.00 120.00
Space group P-3m1 (No. 164)
Asymmetric unit:
Zn (0.0000, 0.0000, 0.0000) (multiplicity 1)
Cu (0.0000, 0.5000, 0.0000) (multiplicity 3)
H (0.2023, 0.4046, 0.6716) (multiplicity 6)
Cl (0.3333, 0.6667, 0.3823) (multiplicity 2)
O (0.1773, 0.3546, 0.8422) (multiplicity 6)